Entry 1:
Here is a geometry-optimized TiAl3B structure from the Alexandria database. Energies are from PBE.

SG = Pm-3m (221)
E_tot = -4.8184 eV/atom
N(E_F) = 0.825 states/eV per atom
Spin magnetization = 0.000 μB per atom

Cell: 4.218 4.218 4.218 Å, 90.00 90.00 90.00°
Element x y z (fractional)
Ti 0.000 0.000 0.000
Al 0.000 0.500 0.500
Al 0.500 0.000 0.500
Al 0.500 0.500 0.000
B 0.500 0.500 0.500

Entry 2:
Here is a geometry-optimized Ti2AlB structure from the Alexandria database. Energies are from PBE.

SG = R-3m (166)
E_tot = -6.8880 eV/atom
N(E_F) = 0.511 states/eV per atom
Spin magnetization = 0.000 μB per atom

Cell: 3.152 3.152 21.069 Å, 90.00 90.00 120.00°
Element x y z (fractional)
Ti 0.000 0.000 0.224
Ti 0.000 0.000 0.776
Ti 0.333 0.667 0.442
Ti 0.333 0.667 0.891
Ti 0.667 0.333 0.109
Ti 0.667 0.333 0.558
Al 0.000 0.000 0.000
Al 0.333 0.667 0.667
Al 0.667 0.333 0.333
B 0.000 0.000 0.500
B 0.333 0.667 0.167
B 0.667 0.333 0.833

Entry 3:
Here is a geometry-optimized Ti2AlB structure from the Alexandria database. Energies are from PBE.

SG = Fm-3m (225)
E_tot = -6.4161 eV/atom
N(E_F) = 1.740 states/eV per atom
Spin magnetization = 0.000 μB per atom

Cell: 6.005 6.005 6.005 Å, 90.00 90.00 90.00°
Element x y z (fractional)
Ti 0.250 0.250 0.250
Ti 0.250 0.250 0.750
Ti 0.250 0.750 0.250
Ti 0.250 0.750 0.750
Ti 0.750 0.250 0.250
Ti 0.750 0.250 0.750
Ti 0.750 0.750 0.250
Ti 0.750 0.750 0.750
Al 0.000 0.000 0.000
Al 0.000 0.500 0.500
Al 0.500 0.000 0.500
Al 0.500 0.500 0.000
B 0.000 0.000 0.500
B 0.000 0.500 0.000
B 0.500 0.000 0.000
B 0.500 0.500 0.500

Entry 4:
Here is a geometry-optimized TiAl3B structure from the Alexandria database. Energies are from PBE.

SG = Pm-3m (221)
E_tot = -3.4983 eV/atom
N(E_F) = 0.691 states/eV per atom
Spin magnetization = 0.318 μB per atom

Cell: 4.998 4.998 4.998 Å, 90.00 90.00 90.00°
Element x y z (fractional)
Ti 0.000 0.000 0.000
Al 0.000 0.000 0.500
Al 0.000 0.500 0.000
Al 0.500 0.000 0.000
B 0.500 0.500 0.500

Number 1: DFT formation energy 32.96 kJ/mol of atoms. Number 2: DFT formation energy -32.37 kJ/mol of atoms. Number 3: DFT formation energy 13.16 kJ/mol of atoms. Number 4: DFT formation energy 160.33 kJ/mol of atoms.